Compound: RbLa2BBr
Source: Alexandria via LeMat-Bulk
Functional: PBEsol
Structure: relaxed

Cell: 5.459 5.650 5.650 Å, 90.00 90.00 90.00°
Sites, in units of the cell vectors:
Rb 0.000 0.000 0.000
Br 0.500 0.000 0.000
B 0.500 0.500 0.500
La 0.000 0.500 0.000
La 0.000 0.000 0.500

Output
Spin magnetization (μB/atom): 0.000
Mass density (kg/m3): 4326
Space-group type: P4/mmm, No. 123
ΔE_f (raw) (meV per atom): 1608.5
E_tot (eV per atom): -2.51

=====

Compound: LaBSeBr2
Source: Alexandria via LeMat-Bulk
Functional: PBEsol
Structure: relaxed

Cell: 4.875 4.649 4.649 Å, 90.00 90.00 90.00°
Sites, in units of the cell vectors:
B 0.000 0.000 0.000
Br 0.000 0.000 0.500
Br 0.000 0.500 0.000
La 0.500 0.500 0.500
Se 0.500 0.000 0.000

Output
Spin magnetization (μB/atom): 0.004
Mass density (kg/m3): 6122
Space-group type: P4/mmm, No. 123
ΔE_f (raw) (meV per atom): -448.8
E_tot (eV per atom): -4.44

=====

Compound: LaTaBBr2
Source: Alexandria via LeMat-Bulk
Functional: PBEsol
Structure: relaxed

Cell: 4.899 5.610 5.610 Å, 90.00 90.00 90.00°
Each line ends with the local moment (μB).
Sites, in units of the cell vectors:
Br 0.000 0.500 0.000  0.02
Br 0.000 0.000 0.500  0.02
Ta 0.500 0.500 0.500  -2.20
B 0.500 0.000 0.000  0.28
La 0.000 0.000 0.000  0.13

Output
Spin magnetization (μB/atom): 0.505
Mass density (kg/m3): 5284
Space-group type: P4/mmm, No. 123
ΔE_f (raw) (meV per atom): 1316.0
E_tot (eV per atom): -4.41

=====

Compound: Li2BBr2
Source: Alexandria via LeMat-Bulk
Functional: PBEsol
Structure: relaxed

Cell: 4.334 4.334 6.731 Å, 108.78 108.78 90.00°
Each line ends with the local moment (μB).
Sites, in units of the cell vectors:
Br 0.645 0.645 0.289  0.02
Br 0.355 0.355 0.711  0.02
Li 0.250 0.750 0.500  0.00
Li 0.750 0.250 0.500  0.00
B 0.000 0.000 0.000  0.36

Output
Spin magnetization (μB/atom): 0.201
Mass density (kg/m3): 2722
Space-group type: I4/mmm, No. 139
ΔE_f (raw) (meV per atom): 41.7
E_tot (eV per atom): -2.90

=====

Compound: LiBSeBr2
Source: Alexandria via LeMat-Bulk
Functional: PBEsol
Structure: relaxed

Cell: 4.048 5.147 5.147 Å, 90.00 90.00 90.00°
Sites, in units of the cell vectors:
Li 0.500 0.500 0.500
Br 0.000 0.000 0.500
Br 0.000 0.500 0.000
B 0.000 0.000 0.000
Se 0.500 0.000 0.000

Output
Spin magnetization (μB/atom): 0.000
Mass density (kg/m3): 3972
Space-group type: P4/mmm, No. 123
ΔE_f (raw) (meV per atom): 71.2
E_tot (eV per atom): -3.24

=====

Compound: Mg3BBr
Source: Alexandria via LeMat-Bulk
Functional: PBEsol
Structure: relaxed

Cell: 5.035 5.035 5.035 Å, 90.00 90.00 90.00°
Sites, in units of the cell vectors:
B 0.500 0.500 0.500
Mg 0.500 0.000 0.000
Mg 0.000 0.500 0.000
Mg 0.000 0.000 0.500
Br 0.000 0.000 0.000

Output
Spin magnetization (μB/atom): 0.000
Mass density (kg/m3): 2129
Space-group type: Pm-3m, No. 221
ΔE_f (raw) (meV per atom): 1206.9
E_tot (eV per atom): -1.60